DFT (PBE) results for crystalline Cd2CoOs at its relaxed geometry.

Lattice parameters (Å, degrees): 2.788 2.788 9.660 90.00 90.00 117.02
Atoms (fractional coordinates):
Cd (0.000, 0.000, 0.983)
Cd (0.500, 0.500, 0.278)
Co (0.000, 0.000, 0.518)
Os (0.500, 0.500, 0.721)

Density = 11.76 Mg/m³
Space-group type = Cmm2
Energy relative to the lowest polymorph listed for this composition = 203 meV per atom
ΔE_f = 0.48 eV/atom
M_tot = 1.8 μB per cell